KBe2Cu after structural relaxation. Source: the Alexandria database, functional PBE.

Lattice parameters (Å, degrees): 4.7116 4.7116 8.2105 73.33 73.33 90.00
Fractional coordinates of all 8 atoms:
Be  0.8750  0.1250  0.2500
Be  0.8750  0.6250  0.2500
Be  0.3750  0.1250  0.7500
Be  0.8750  0.1250  0.7500
K  0.5000  0.5000  0.0000
K  0.2500  0.7500  0.5000
Cu  0.0000  0.0000  0.0000
Cu  0.7500  0.2500  0.5000

Properties
Polymorph energy (0 for the lowest one)   413 meV/atom
Crystal system   tetragonal
Calculated total energy   -2.53 eV/atom
M_tot   0.00 μB per formula unit